## NpFeCu2O8 (PBE+U)

Data for crystalline NpFeCu2O8 at its relaxed geometry.

POSCAR file:
```
NpFeCu2O8
1.0
-3.7471 3.0039 -3.0564
1.9799 -4.0060 -3.5268
-2.4312 -2.2954 4.6071
Np Fe Cu O
1 1 2 8
direct
0.0000 0.0000 0.0000 Np
0.2500 0.7500 0.5000 Fe
0.7500 0.2500 0.5000 Cu
0.5000 0.5000 0.0000 Cu
0.3503 0.0445 0.3058 O
0.2965 0.4881 0.1916 O
0.2965 0.1049 0.8084 O
0.7387 0.0445 0.6942 O
0.8951 0.7035 0.1916 O
0.9555 0.2613 0.3058 O
0.9555 0.6497 0.6942 O
0.5119 0.7035 0.8084 O
```

Computed properties:
symmetry: I-4m2, No. 119
VASP energy: -6.679 eV per atom
magnetization: 4.45 μB/f.u.